No. 1
SiHg (PBE, relaxed); energy above the lowest structure with this stoichiometry = 62 meV/atom
1.0
3.0364 0.0000 0.0000
-1.5182 2.6296 0.0000
0.0000 0.0000 5.2089
Si Hg
1 1
Cartesian
0.0000 0.0000 0.0000 Si
0.0000 1.7531 2.6045 Hg



No. 2
ScCuTe3Pb (PBE, relaxed); energy above the lowest structure with this stoichiometry = 1 meV/atom
1.0
2.0966 -7.2194 0.0000
2.0966 7.2194 0.0000
0.0000 0.0000 10.8329
Sc Cu Te Pb
2 2 6 2
Cartesian
0.0000 0.0000 0.0000 Sc
0.0000 0.0000 5.4165 Sc
2.0966 0.4724 8.1247 Cu
2.0966 -0.4724 2.7082 Cu
2.0966 6.0630 8.1247 Te
2.0966 2.0135 5.9974 Te
2.0966 2.0135 10.2520 Te
2.0966 -2.0135 0.5810 Te
2.0966 -2.0135 4.8355 Te
2.0966 -6.0630 2.7082 Te
2.0966 3.8184 2.7082 Pb
2.0966 -3.8184 8.1247 Pb



No. 3
SrTaBe (PBE, relaxed); energy above the lowest structure with this stoichiometry = 966 meV/atom
1.0
0.0000 3.4022 3.4022
3.4022 0.0000 3.4022
3.4022 3.4022 0.0000
Sr Ta Be
1 1 1
Cartesian
0.0000 0.0000 0.0000 Sr
1.7011 1.7011 1.7011 Ta
5.1033 5.1033 5.1033 Be



Look up the energy above the lowest structure with this stoichiometry of the first one.
62 meV/atom